Entry 1:
The following is a DFT calculation (GGA-PBE) of a relaxed structure of TiInBr5.

Properties
- density (g cm⁻³) = 3.96
- raw formation energy (eV per atom) = -0.9903
- crystal system = monoclinic

```
TiInBr5
1.0
4.1488 -6.1750 0.0000
4.1488 6.1750 0.0000
-2.6986 0.0000 9.2090
Ti In Br
2 2 10
Direct
0.0000 0.0000 0.0000
0.0000 0.0000 0.5000
0.3924 0.6076 0.7500
0.6076 0.3924 0.2500
0.0604 0.7144 0.3863
0.0888 0.9112 0.7500
0.2250 0.3644 0.0355
0.2856 0.9396 0.1137
0.3644 0.2250 0.5355
0.6356 0.7750 0.4645
0.7144 0.0604 0.8863
0.7750 0.6356 0.9645
0.9112 0.0888 0.2500
0.9396 0.2856 0.6137
```

=====

Entry 2:
The following is a DFT calculation (GGA-PBE) of a relaxed structure of TiIn6Br12.

Properties
- N(E_F) (states/eV/cell) = 14.0
- density (g cm⁻³) = 4.00
- raw formation energy (eV per atom) = -0.7305
- crystal system = trigonal

```
TiIn6Br12
1.0
5.3414 3.0839 7.1282
-5.3414 3.0839 7.1282
0.0000 -6.1678 7.1282
Ti In Br
1 6 12
Direct
0.0000 0.0000 0.0000
0.1746 0.2916 0.5381
0.2916 0.5381 0.1746
0.4619 0.8254 0.7084
0.5381 0.1746 0.2916
0.7084 0.4619 0.8254
0.8254 0.7084 0.4619
0.0505 0.2715 0.8812
0.1188 0.9495 0.7285
0.1254 0.6219 0.5223
0.2715 0.8812 0.0505
0.3781 0.4777 0.8746
0.4777 0.8746 0.3781
0.5223 0.1254 0.6219
0.6219 0.5223 0.1254
0.7285 0.1188 0.9495
0.8746 0.3781 0.4777
0.8812 0.0505 0.2715
0.9495 0.7285 0.1188
```

=====

Entry 3:
The following is a DFT calculation (GGA-PBE) of a relaxed structure of TiIn2Br6.

Properties
- density (g cm⁻³) = 4.12
- raw formation energy (eV per atom) = -0.9630
- crystal system = monoclinic

```
TiIn2Br6
1.0
7.2831 0.0000 0.0000
0.0000 8.3663 0.0000
-7.0820 0.0000 10.0106
Ti In Br
2 4 12
Direct
0.0000 0.0000 0.0000
0.0000 0.5000 0.5000
0.2748 0.1055 0.7612
0.2748 0.3945 0.2612
0.7252 0.6055 0.7388
0.7252 0.8945 0.2388
0.1545 0.0230 0.2450
0.1545 0.4770 0.7450
0.2154 0.7419 0.0479
0.2154 0.7581 0.5479
0.3332 0.1606 0.0434
0.3332 0.3394 0.5434
0.6668 0.6606 0.4566
0.6668 0.8394 0.9566
0.7846 0.2419 0.4521
0.7846 0.2581 0.9521
0.8455 0.5230 0.2550
0.8455 0.9770 0.7550
```